No. 1
Here is Cu2Ag after structural relaxation from Alexandria via LeMat-Bulk. Energies are from PBE.

## Properties
crystal system	orthorhombic
calculated density	8497	kg/m3
magnetization	0.000	μB per cell
distance to the lowest polymorph of the same formula	0.173	eV per atom
formation energy from the elements	0.234	eV per atom

Geometry as POSCAR:
```
Cu2Ag
1.0
-2.194 0.149 1.571
1.704 -2.699 2.636
6.799 12.415 8.315
Cu Ag
8 4
Direct
0.500 0.250 0.312
0.000 0.250 0.188
0.500 0.250 0.461
0.500 0.750 0.539
0.000 0.750 0.961
0.000 0.250 0.039
0.500 0.750 0.688
0.000 0.750 0.812
0.500 0.250 0.884
0.000 0.750 0.384
0.000 0.250 0.616
0.500 0.750 0.116
```

No. 2
Here is ScMo2Cl after structural relaxation from Alexandria via LeMat-Bulk. Energies are from PBE.

## Properties
crystal system	tetragonal
calculated density	6479	kg/m3
magnetization	0.000	μB per cell
uncorrected formation energy	224	meV per atom
distance to the lowest polymorph of the same formula	0.453	eV per atom

Geometry as POSCAR:
```
ScMo2Cl
1.0
-0.466 -5.697 1.392
2.639 -4.600 -2.548
0.890 5.383 2.200
Sc Mo Cl
1 2 1
Direct
0.250 0.750 0.500
0.500 0.500 0.000
0.000 0.000 0.000
0.750 0.250 0.500
```

No. 3
Here is NdTh4Co4 after structural relaxation from Alexandria via LeMat-Bulk. Energies are from PBE.

## Properties
crystal system	tetragonal
calculated density	10244	kg/m3
magnetization	0.000	μB per cell
formation energy from the elements	-0.217	eV per atom

Geometry as POSCAR:
```
NdTh4Co4
1.0
-2.972 -4.453 -1.566
1.327 -3.634 7.815
-7.258 3.792 2.995
Th Co Nd
8 8 2
Direct
0.939 0.591 0.810
0.939 0.409 0.190
0.561 0.909 0.690
0.561 0.091 0.310
0.061 0.190 0.591
0.439 0.310 0.909
0.439 0.690 0.091
0.061 0.810 0.409
0.071 0.869 0.704
0.429 0.369 0.204
0.929 0.704 0.131
0.071 0.131 0.296
0.429 0.631 0.796
0.571 0.796 0.369
0.571 0.204 0.631
0.929 0.296 0.869
0.000 0.000 0.000
0.500 0.500 0.500
```

No. 4
Here is NdInHg5 after structural relaxation from Alexandria via LeMat-Bulk. Energies are from PBE.

## Properties
crystal system	tetragonal
calculated density	11166	kg/m3
magnetization	0.000	μB per cell
formation energy from the elements	-0.230	eV per atom

Geometry as POSCAR:
```
NdInHg5
1.0
5.027 0.000 0.000
0.000 5.027 0.000
0.000 0.000 7.427
Hg Nd In
5 1 1
Direct
0.500 0.500 0.000
0.000 0.500 0.276
0.500 0.000 0.276
0.500 0.000 0.724
0.000 0.500 0.724
0.000 0.000 0.000
0.000 0.000 0.500
```

No. 5
Here is DyPaSeS after structural relaxation from Alexandria via LeMat-Bulk. Energies are from PBE.

## Properties
crystal system	trigonal
calculated density	9290	kg/m3
magnetization	0.789	μB per cell
uncorrected formation energy	-1560	meV per atom

Geometry as POSCAR:
```
DyPaSeS
1.0
-1.539 -0.722 3.362
3.710 0.594 -0.285
-1.280 7.463 -1.095
Dy Se Pa S
1 1 1 1
Direct
0.484 0.140 0.639
0.972 0.384 0.371
0.123 0.959 0.097
0.299 0.548 0.862
```

No. 6
Here is LiTl4P after structural relaxation from Alexandria via LeMat-Bulk. Energies are from PBE.

## Properties
crystal system	cubic
calculated density	7982	kg/m3
magnetization	0.000	μB per cell
formation energy from the elements	0.349	eV per atom

Geometry as POSCAR:
```
LiTl4P
1.0
0.000 4.465 4.465
4.465 0.000 4.465
4.465 4.465 0.000
P Tl Li
1 4 1
Direct
0.000 0.000 0.000
0.877 0.374 0.374
0.374 0.374 0.374
0.374 0.374 0.877
0.374 0.877 0.374
0.750 0.750 0.750
```

No. 7
Here is Pm2Ag2Pd after structural relaxation from Alexandria via LeMat-Bulk. Energies are from PBE.

## Properties
crystal system	monoclinic
calculated density	8439	kg/m3
magnetization	0.000	μB per cell
formation energy from the elements	-0.458	eV per atom

Geometry as POSCAR:
```
Pm2Ag2Pd
1.0
-0.085 -1.439 -3.729
5.185 -1.747 -1.587
-0.995 -11.283 2.234
Pd Ag Pm
2 4 4
Direct
0.801 0.094 0.305
0.199 0.906 0.695
0.155 0.230 0.460
0.961 0.185 0.893
0.845 0.770 0.540
0.039 0.815 0.107
0.315 0.253 0.118
0.501 0.334 0.664
0.685 0.747 0.882
0.499 0.666 0.336
```

No. 8
Here is HgRu after structural relaxation from Alexandria via LeMat-Bulk. Energies are from PBE.

## Properties
crystal system	tetragonal
calculated density	14197	kg/m3
magnetization	1.600	μB per cell
formation energy from the elements	0.704	eV per atom

Geometry as POSCAR:
```
HgRu
1.0
-0.680 -2.699 -0.938
-0.533 -0.828 2.767
-3.909 1.130 -0.415
Ru Hg
1 1
Direct
0.500 0.500 0.500
0.000 0.000 0.000
```

No. 9
Here is KPm2Mo2N6 after structural relaxation from Alexandria via LeMat-Bulk. Energies are from PBE.

## Properties
crystal system	triclinic
calculated density	4568	kg/m3
magnetization	1.017	μB per cell
uncorrected formation energy	-524	meV per atom

Geometry as POSCAR:
```
KPm2Mo2N6
1.0
-4.402 1.924 -4.536
-4.993 -3.948 -0.920
-1.273 5.938 3.129
N Pm Mo K
6 2 2 1
Direct
0.590 0.276 0.047
0.173 0.867 0.593
0.082 0.540 0.804
0.918 0.460 0.196
0.827 0.133 0.407
0.410 0.724 0.953
0.174 0.632 0.209
0.826 0.368 0.791
0.183 0.766 0.810
0.817 0.234 0.190
0.500 0.000 0.500
```

No. 10
Here is PmDyGa4 after structural relaxation from Alexandria via LeMat-Bulk. Energies are from PBE.

## Properties
crystal system	orthorhombic
calculated density	7715	kg/m3
magnetization	0.000	μB per cell
distance to the lowest polymorph of the same formula	0.033	eV per atom
formation energy from the elements	-0.635	eV per atom

Geometry as POSCAR:
```
PmDyGa4
1.0
-2.025 1.522 3.465
-5.799 0.256 -0.843
-2.282 -4.333 3.228
Ga Pm Dy
4 1 1
Direct
0.837 0.470 0.856
0.162 0.640 0.037
0.162 0.037 0.640
0.837 0.856 0.470
0.441 0.059 0.059
0.562 0.438 0.438
```

No. 11
Here is Mg2ScZn2Pd5 after structural relaxation from Alexandria via LeMat-Bulk. Energies are from PBE.

## Properties
crystal system	tetragonal
calculated density	7458	kg/m3
magnetization	0.000	μB per cell
formation energy from the elements	-0.592	eV per atom

Geometry as POSCAR:
```
Mg2ScZn2Pd5
1.0
3.806 0.000 0.000
0.000 9.408 0.000
0.000 0.000 9.408
Pd Mg Zn Sc
10 4 4 2
Direct
0.500 0.416 0.303
0.500 0.803 0.916
0.500 0.000 0.500
0.500 0.697 0.416
0.500 0.584 0.697
0.500 0.084 0.803
0.500 0.500 0.000
0.500 0.916 0.197
0.500 0.303 0.584
0.500 0.197 0.084
0.000 0.830 0.670
0.000 0.170 0.330
0.000 0.670 0.170
0.000 0.330 0.830
0.000 0.125 0.625
0.000 0.875 0.375
0.000 0.625 0.875
0.000 0.375 0.125
0.000 0.500 0.500
0.000 0.000 0.000
```

No. 12
Here is CeTmPaTl after structural relaxation from Alexandria via LeMat-Bulk. Energies are from PBE.

## Properties
crystal system	cubic
calculated density	11486	kg/m3
magnetization	2.038	μB per cell
formation energy from the elements	0.199	eV per atom

Geometry as POSCAR:
```
CeTmPaTl
1.0
5.339 0.000 0.000
2.670 4.624 0.000
2.670 1.541 4.359
Tm Ce Tl Pa
1 1 1 1
Direct
0.750 0.750 0.750
0.250 0.250 0.250
0.000 0.000 0.000
0.500 0.500 0.500
```

No. 13
Here is K2RbBaSb after structural relaxation from Alexandria via LeMat-Bulk. Energies are from PBE.

## Properties
crystal system	tetragonal
calculated density	2130	kg/m3
magnetization	0.000	μB per cell
uncorrected formation energy	-286	meV per atom
distance to the lowest polymorph of the same formula	0.000	eV per atom

Geometry as POSCAR:
```
K2RbBaSb
1.0
6.954 0.000 0.000
0.000 6.954 0.000
0.000 0.000 6.817
K Rb Sb Ba
2 1 1 1
Direct
0.500 0.000 0.000
0.000 0.500 0.000
0.500 0.500 0.500
0.000 0.000 0.000
0.000 0.000 0.500
```

No. 14
Here is HfTl2IBr5 after structural relaxation from Alexandria via LeMat-Bulk. Energies are from PBE.

## Properties
crystal system	tetragonal
calculated density	5386	kg/m3
magnetization	0.000	μB per cell
uncorrected formation energy	-1127	meV per atom

Geometry as POSCAR:
```
HfTl2IBr5
1.0
7.997 -0.353 -0.513
-4.108 6.870 0.513
-4.108 -1.967 6.602
Tl Br Hf I
2 5 1 1
Direct
0.500 0.196 0.696
0.500 0.696 0.196
0.512 0.774 0.774
0.000 0.239 0.239
0.000 0.774 0.262
0.000 0.262 0.774
0.488 0.262 0.262
0.000 0.020 0.020
0.000 0.777 0.777
```

No. 15
Here is Rb2TaRuF6 after structural relaxation from Alexandria via LeMat-Bulk. Energies are from PBE.

## Properties
crystal system	tetragonal
calculated density	4773	kg/m3
magnetization	1.013	μB per cell
uncorrected formation energy	-2018	meV per atom

Geometry as POSCAR:
```
Rb2TaRuF6
1.0
-2.076 -4.566 -2.992
-1.857 -2.420 4.981
-7.049 -0.798 0.409
F Ru Rb Ta
6 1 2 1
Direct
0.755 0.245 0.000
0.176 0.176 0.647
0.824 0.824 0.353
0.755 0.755 0.000
0.245 0.245 0.000
0.245 0.755 0.000
0.500 0.500 0.000
0.250 0.750 0.500
0.750 0.250 0.500
0.000 0.000 0.000
```

No. 16
Here is CeAg3Ge3 after structural relaxation from Alexandria via LeMat-Bulk. Energies are from PBE.

## Properties
crystal system	cubic
calculated density	6400	kg/m3
magnetization	2.539	μB per cell
formation energy from the elements	0.276	eV per atom

Geometry as POSCAR:
```
CeAg3Ge3
1.0
7.072 0.000 0.000
0.000 7.072 0.000
0.000 0.000 7.072
Ag Ge Ce
6 6 2
Direct
0.000 0.500 0.250
0.000 0.500 0.750
0.750 0.000 0.500
0.500 0.250 0.000
0.500 0.750 0.000
0.250 0.000 0.500
0.750 0.500 0.000
0.000 0.750 0.500
0.500 0.000 0.750
0.250 0.500 0.000
0.500 0.000 0.250
0.000 0.250 0.500
0.000 0.000 0.000
0.500 0.500 0.500
```

| no. | volume (Å³/f.u.) |
| --- | --- |
| 1 | 46 |
| 2 | 70 |
| 3 | 212 |
| 4 | 188 |
| 5 | 90 |
| 6 | 178 |
| 7 | 120 |
| 8 | 35 |
| 9 | 220 |
| 10 | 126 |
| 11 | 168 |
| 12 | 108 |
| 13 | 330 |
| 14 | 343 |
| 15 | 197 |
| 16 | 177 |